# 1
LiPr2In6Ag after structural relaxation, computed with GGA-PBE.

Calculated values
energy relative to the elements = -228.7 kJ/mol of formula units

Cell: 6.0872 7.1913 7.2047 Å, 70.55 67.51 65.54°
Closest atoms and distances in Å follow each position.
Space group P-1 (No. 2)
Asymmetric unit:
Li 0.0000 0.0000 0.0000 x1  4 In 2.65-2.96
Pr 0.4991 0.2359 0.7381 x2  7 In 3.32-3.52, 1 Ag 3.58, 2 Li 3.66-3.70
In 0.0073 0.3116 0.1802 x2  1 Li 2.96, 1 Ag 3.02, 5 In 3.02-3.12
In 0.1440 0.0769 0.5924 x2  1 Li 2.65, 1 Ag 2.71
In 0.4966 0.3080 0.1986 x2  5 In 3.02-3.25, 1 Ag 3.05, 1 Li 3.08
Ag 0.0000 0.5000 0.5000 x1  4 In 2.71-3.02



# 2
PrDy2Ni6 after structural relaxation, computed with GGA-PBE.

Calculated values
energy relative to the elements = -307.5 kJ/mol of formula units

Cell: 6.9803 6.9803 3.7841 Å, 90.00 90.00 120.00°
Closest atoms and distances in Å follow each position.
Space group P6/mmm (No. 191)
Asymmetric unit:
Pr 0.0000 0.0000 0.0000 x1  12 Ni 3.01
Dy 0.3333 0.6667 0.0000 x2  12 Ni 2.99
Ni 0.0000 0.3358 0.5000 x6  3 Ni 2.29-2.34